(1)
DFT (PBE) results for a geometry-optimized ErTaGa2 structure.

The structure belongs to space group P4/mmm (No. 123); the cell edges are 3.518, 3.518 and 6.202 Å and the angles 90.00°, 90.00° and 90.00°. The distinct sites, in fractional coordinates, are Er at (0.000, 0.000, 0.000), Ta at (0.000, 0.000, 0.500) and Ga at (0.500, 0.500, 0.290).

The density of states at the Fermi level is 2.07 states/eV/f.u. The formation enthalpy at 0 K is -0.237 eV/atom. The offset from the most stable computed form comes out at 0.000 eV per atom.


(2)
DFT (PBE) results for a geometry-optimized RbAsSN2 structure.

The structure belongs to space group P4/mmm (No. 123); the cell edges are 4.272, 4.272 and 4.944 Å and the angles 90.00°, 90.00° and 90.00°. The distinct sites, in fractional coordinates, are Rb at (0.000, 0.000, 0.000), As at (0.500, 0.500, 0.500), S at (0.500, 0.500, 0.000) and N at (0.000, 0.500, 0.500).

The density of states at the Fermi level is 2.21 states/eV/f.u. The uncorrected formation energy is 1037.4 meV/atom. The offset from the most stable computed form comes out at 0.000 eV per atom.


(3)
DFT (PBE) results for a geometry-optimized ScCuPt2 structure.

The structure belongs to space group R-3m (No. 166, hexagonal axes); the cell edges are 2.9197, 2.9197 and 26.0294 Å and the angles 90.00°, 90.00° and 120.00°. The distinct sites, in fractional coordinates, are Sc at (0.0000, 0.0000, 0.0000), Cu at (0.0000, 0.0000, 0.5000) and Pt at (0.0000, 0.0000, 0.2485).

The density of states at the Fermi level is 2.66 states/eV/f.u. The formation enthalpy at 0 K is -0.423 eV/atom.


(4)
DFT (PBE) results for a geometry-optimized CrB3Pb structure.

The structure belongs to space group Pm-3m (No. 221); the cell edges are 4.518, 4.518 and 4.518 Å and the angles 90.00°, 90.00° and 90.00°. The distinct sites, in fractional coordinates, are Cr at (0.000, 0.000, 0.000), B at (0.000, 0.500, 0.500) and Pb at (0.500, 0.500, 0.500).

The density of states at the Fermi level is 8.38 states/eV/f.u. The formation enthalpy at 0 K is 3.127 eV/atom. The offset from the most stable computed form comes out at 2.080 eV per atom.


(5)
DFT (PBE) results for a geometry-optimized Pm2Al3Re structure.

The structure belongs to space group R-3m (No. 166, hexagonal axes); the cell edges are 5.6407, 5.6407 and 13.3158 Å and the angles 90.00°, 90.00° and 120.00°. The distinct sites, in fractional coordinates, are Pm at (0.0000, 0.0000, 0.1278), Al at (0.0000, 0.5000, 0.0000) and Re at (0.0000, 0.0000, 0.5000).

The density of states at the Fermi level is 4.25 states/eV/f.u. The formation enthalpy at 0 K is -0.343 eV/atom.


(6)
DFT (PBE) results for a geometry-optimized Ba2CdGe structure.

The structure belongs to space group P4/mmm (No. 123); the cell edges are 4.110, 4.110 and 8.490 Å and the angles 90.00°, 90.00° and 90.00°. The distinct sites, in fractional coordinates, are Ba at (0.000, 0.000, 0.225), Cd at (0.500, 0.500, 0.500) and Ge at (0.500, 0.500, 0.000).

The density of states at the Fermi level is 3.02 states/eV/f.u. The formation enthalpy at 0 K is -0.368 eV/atom.


(7)
DFT (PBE) results for a geometry-optimized NaSrEuIn structure.

The structure belongs to space group F-43m (No. 216); the cell edges are 8.247, 8.247 and 8.247 Å and the angles 90.00°, 90.00° and 90.00°. The distinct sites, in fractional coordinates, are Na at (0.000, 0.000, 0.000), Sr at (0.250, 0.250, 0.750), Eu at (0.250, 0.250, 0.250) and In at (0.000, 0.000, 0.500).

The density of states at the Fermi level is 13.96 states/eV/f.u. The formation enthalpy at 0 K is -0.208 eV/atom.


(8)
DFT (PBE) results for a geometry-optimized Fe2PRh structure.

The structure belongs to space group Amm2 (No. 38); the cell edges are 3.372, 2.808 and 10.539 Å and the angles 90.00°, 90.00° and 90.00°. The distinct sites, in fractional coordinates, are Fe at (0.000, 0.000, 0.000), Fe at (0.500, 0.000, 0.368), P at (0.500, 0.000, 0.584) and Rh at (0.000, 0.000, 0.732).

The density of states at the Fermi level is 3.88 states/eV/f.u. The formation enthalpy at 0 K is -0.225 eV/atom.


(9)
DFT (PBE) results for a geometry-optimized RbLi3Hf structure.

The structure belongs to space group Pm-3m (No. 221); the cell edges are 5.015, 5.015 and 5.015 Å and the angles 90.00°, 90.00° and 90.00°. The distinct sites, in fractional coordinates, are Rb at (0.000, 0.000, 0.000), Li at (0.000, 0.000, 0.500) and Hf at (0.500, 0.500, 0.500).

The density of states at the Fermi level is 5.82 states/eV/f.u. The formation enthalpy at 0 K is 1.247 eV/atom. The offset from the most stable computed form comes out at 0.226 eV per atom.


(10)
DFT (PBE) results for a geometry-optimized SrPmH8Pd2 structure.

The structure belongs to space group R-3m (No. 166, hexagonal axes); the cell edges are 4.3608, 4.3608 and 25.9404 Å and the angles 90.00°, 90.00° and 120.00°. The distinct sites, in fractional coordinates, are Sr at (0.0000, 0.0000, 0.0000), Pm at (0.0000, 0.0000, 0.5000), H at (0.0000, 0.0000, 0.3121), H at (0.0269, 0.5135, 0.5398) and Pd at (0.0000, 0.0000, 0.2454).

The density of states at the Fermi level is 2.83 states/eV/f.u.


(11)
DFT (PBE) results for a geometry-optimized CaSi2Au8 structure.

The structure belongs to space group P4/mmm (No. 123); the cell edges are 5.677, 5.677 and 7.934 Å and the angles 90.00°, 90.00° and 90.00°. The distinct sites, in fractional coordinates, are Ca at (0.000, 0.000, 0.000), Si at (0.000, 0.500, 0.500) and Au at (0.252, 0.252, 0.297).

The density of states at the Fermi level is 3.41 states/eV/f.u. The uncorrected formation energy is -40.2 meV/atom. The offset from the most stable computed form comes out at 0.126 eV per atom.


(12)
DFT (PBE) results for a geometry-optimized Dy2Sc3In4 structure.

The structure belongs to space group Cmce (No. 64); the cell edges are 6.673, 16.097 and 8.698 Å and the angles 90.00°, 90.00° and 90.00°. The distinct sites, in fractional coordinates, are Dy at (0.000, 0.112, 0.079), Sc at (0.000, 0.000, 0.500), Sc at (0.250, 0.216, 0.750), In at (0.000, 0.184, 0.457) and In at (0.250, 0.036, 0.750).

The density of states at the Fermi level is 8.52 states/eV/f.u. The formation enthalpy at 0 K is -0.290 eV/atom.


(13)
DFT (PBE) results for a geometry-optimized Sm3Be2Pt5 structure.

The structure belongs to space group P4/mbm (No. 127); the cell edges are 9.961, 9.961 and 3.665 Å and the angles 90.00°, 90.00° and 90.00°. The distinct sites, in fractional coordinates, are Sm at (0.000, 0.000, 0.000), Sm at (0.179, 0.321, 0.000), Be at (0.114, 0.614, 0.000), Pt at (0.000, 0.500, 0.500) and Pt at (0.070, 0.772, 0.500).

The density of states at the Fermi level is 5.37 states/eV/f.u. The formation enthalpy at 0 K is -0.983 eV/atom.


Number 1: total magnetic moment 0.00 μB per formula unit, E_tot -5.854 eV per atom. Number 2: total magnetic moment 2.98 μB per formula unit, E_tot -4.242 eV per atom. Number 3: total magnetic moment 0.00 μB per formula unit, E_tot -6.050 eV per atom. Number 4: total magnetic moment 0.27 μB per formula unit, E_tot -3.546 eV per atom. Number 5: total magnetic moment 0.00 μB per formula unit, E_tot -5.873 eV per atom. Number 6: total magnetic moment 0.00 μB per formula unit, E_tot -2.712 eV per atom. Number 7: total magnetic moment 7.10 μB per formula unit, E_tot -4.211 eV per atom. Number 8: total magnetic moment 4.42 μB per formula unit, E_tot -7.647 eV per atom. Number 9: total magnetic moment 1.42 μB per formula unit, E_tot -2.086 eV per atom. Number 10: total magnetic moment 0.00 μB per formula unit, E_tot -3.832 eV per atom. Number 11: total magnetic moment 0.00 μB per formula unit, E_tot -3.592 eV per atom. Number 12: total magnetic moment 0.00 μB per formula unit, E_tot -4.640 eV per atom. Number 13: total magnetic moment 0.00 μB per formula unit, E_tot -6.165 eV per atom.